[1]
NbCd3Pt | GGA-PBE | optimized geometry

Calculated values
Its energy of formation from the pure elements is 0.740 eV per atom. As for the energy above the lowest structure with this stoichiometry: 0.000 eV/atom.

Structure (CIF):
```
data_NbCd3Pt
_cell_length_a 5.1202
_cell_length_b 5.1202
_cell_length_c 5.1202
_cell_angle_alpha 90.00
_cell_angle_beta 90.00
_cell_angle_gamma 90.00
_space_group_name_H-M_alt 'P m -3 m'
_space_group_IT_number 221
_space_group_name_Hall '-P 4 2 3'
loop_
_atom_site_label
_atom_site_type_symbol
_atom_site_fract_x
_atom_site_fract_y
_atom_site_fract_z
Nb1 Nb 0.0000 0.0000 0.0000
Cd1 Cd 0.0000 0.5000 0.5000
Pt1 Pt 0.5000 0.5000 0.5000
```


[2]
CaMg2ZnGa2 | GGA-PBE | optimized geometry

Calculated values
Its energy of formation from the pure elements is 0.019 eV per atom.

Structure (CIF):
```
data_CaMg2ZnGa2
_cell_length_a 5.3414
_cell_length_b 5.3414
_cell_length_c 10.9116
_cell_angle_alpha 90.00
_cell_angle_beta 90.00
_cell_angle_gamma 90.00
_space_group_name_H-M_alt 'I 4/m m m'
_space_group_IT_number 139
_space_group_name_Hall '-I 4 2'
loop_
_atom_site_label
_atom_site_type_symbol
_atom_site_fract_x
_atom_site_fract_y
_atom_site_fract_z
Ca1 Ca 0.0000 0.0000 0.0000
Mg1 Mg 0.0000 0.5000 0.2500
Zn1 Zn 0.0000 0.0000 0.5000
Ga1 Ga 0.0000 0.0000 0.2802
```


[3]
ScTl5Cl8 | GGA-PBE | optimized geometry

Structure (CIF):
```
data_ScTl5Cl8
_cell_length_a 11.0639
_cell_length_b 11.0639
_cell_length_c 9.3531
_cell_angle_alpha 90.00
_cell_angle_beta 90.00
_cell_angle_gamma 90.00
_space_group_name_H-M_alt 'I -4'
_space_group_IT_number 82
loop_
_space_group_symop_operation_xyz
'x,y,z'
'y,-x,-z'
'-x,-y,z'
'-y,x,-z'
'x+1/2,y+1/2,z+1/2'
'y+1/2,-x+1/2,-z+1/2'
'-x+1/2,-y+1/2,z+1/2'
'-y+1/2,x+1/2,-z+1/2'
loop_
_atom_site_label
_atom_site_type_symbol
_atom_site_fract_x
_atom_site_fract_y
_atom_site_fract_z
Sc1 Sc 0.0000 0.0000 0.0000
Tl1 Tl 0.0000 0.5000 0.2500
Tl2 Tl 0.2169 0.7793 0.3851
Cl1 Cl 0.0308 0.1855 0.8795
Cl2 Cl 0.0523 0.2443 0.3623
```


[4]
Ca2MgZn3Ag4 | GGA-PBE | optimized geometry

Calculated values
Its energy of formation from the pure elements is -0.195 eV per atom.

Structure (CIF):
```
data_Ca2MgZn3Ag4
_cell_length_a 4.3685
_cell_length_b 4.3685
_cell_length_c 11.3567
_cell_angle_alpha 90.00
_cell_angle_beta 90.00
_cell_angle_gamma 90.00
_space_group_name_H-M_alt 'P -4 m 2'
_space_group_IT_number 115
loop_
_space_group_symop_operation_xyz
'x,y,z'
'y,-x,-z'
'-x,-y,z'
'-y,x,-z'
'-x,y,z'
'-y,-x,-z'
'x,-y,z'
'y,x,-z'
loop_
_atom_site_label
_atom_site_type_symbol
_atom_site_fract_x
_atom_site_fract_y
_atom_site_fract_z
Ca1 Ca 0.0000 0.5000 0.2377
Mg1 Mg 0.0000 0.0000 0.5000
Zn1 Zn 0.0000 0.5000 0.8686
Zn2 Zn 0.5000 0.5000 0.5000
Ag1 Ag 0.0000 0.0000 0.0000
Ag2 Ag 0.0000 0.5000 0.6444
Ag3 Ag 0.5000 0.5000 0.0000
```


[5]
Bi2SCl3 | GGA-PBE | optimized geometry

Structure (CIF):
```
data_Bi2SCl3
_cell_length_a 17.5756
_cell_length_b 4.1912
_cell_length_c 11.4051
_cell_angle_alpha 90.00
_cell_angle_beta 114.80
_cell_angle_gamma 90.00
_space_group_name_H-M_alt 'C 1 2/m 1'
_space_group_IT_number 12
loop_
_space_group_symop_operation_xyz
'x,y,z'
'-x,-y,-z'
'-x,y,-z'
'x,-y,z'
'x+1/2,y+1/2,z'
'-x+1/2,-y+1/2,-z'
'-x+1/2,y+1/2,-z'
'x+1/2,-y+1/2,z'
loop_
_atom_site_label
_atom_site_type_symbol
_atom_site_fract_x
_atom_site_fract_y
_atom_site_fract_z
Bi1 Bi 0.1112 0.0000 0.4499
Bi2 Bi 0.1309 0.5000 0.8361
S1 S 0.0653 0.0000 0.6609
Cl1 Cl 0.0802 0.5000 0.2726
Cl2 Cl 0.1719 0.0000 0.0211
Cl3 Cl 0.2134 0.5000 0.6049
```


[6]
LaSiTe2 | GGA-PBE | optimized geometry

Structure (CIF):
```
data_LaSiTe2
_cell_length_a 7.6458
_cell_length_b 7.6458
_cell_length_c 7.6458
_cell_angle_alpha 90.00
_cell_angle_beta 90.00
_cell_angle_gamma 90.00
_space_group_name_H-M_alt 'F -4 3 m'
_space_group_IT_number 216
_space_group_name_Hall 'F -4 2 3'
loop_
_atom_site_label
_atom_site_type_symbol
_atom_site_fract_x
_atom_site_fract_y
_atom_site_fract_z
La1 La 0.0000 0.0000 0.0000
Si1 Si 0.2500 0.2500 0.2500
Te1 Te 0.0000 0.0000 0.5000
Te2 Te 0.2500 0.2500 0.7500
```


[7]
Sr2TaTeAs | GGA-PBE | optimized geometry

Structure (CIF):
```
data_Sr2TaTeAs
_cell_length_a 5.9645
_cell_length_b 5.9645
_cell_length_c 4.8715
_cell_angle_alpha 90.00
_cell_angle_beta 90.00
_cell_angle_gamma 90.00
_space_group_name_H-M_alt 'P 4/m m m'
_space_group_IT_number 123
_space_group_name_Hall '-P 4 2'
loop_
_atom_site_label
_atom_site_type_symbol
_atom_site_fract_x
_atom_site_fract_y
_atom_site_fract_z
Sr1 Sr 0.0000 0.5000 0.0000
Ta1 Ta 0.0000 0.0000 0.5000
Te1 Te 0.5000 0.5000 0.5000
As1 As 0.0000 0.0000 0.0000
```


[8]
YIn | GGA-PBE | optimized geometry

Calculated values
Its energy of formation from the pure elements is -0.143 eV per atom.

Structure (CIF):
```
data_YIn
_cell_length_a 11.6679
_cell_length_b 11.6679
_cell_length_c 3.5653
_cell_angle_alpha 90.00
_cell_angle_beta 90.00
_cell_angle_gamma 90.00
_space_group_name_H-M_alt 'P 4/m'
_space_group_IT_number 83
loop_
_space_group_symop_operation_xyz
'x,y,z'
'-x,-y,-z'
'-y,x,z'
'y,-x,-z'
'-x,-y,z'
'x,y,-z'
'y,-x,z'
'-y,x,-z'
loop_
_atom_site_label
_atom_site_type_symbol
_atom_site_fract_x
_atom_site_fract_y
_atom_site_fract_z
Y1 Y 0.1098 0.6465 0.0000
Y2 Y 0.1491 0.3877 0.5000
In1 In 0.0816 0.1604 0.0000
In2 In 0.3388 0.5802 0.5000
```


[9]
Al4W | GGA-PBE | optimized geometry

Calculated values
Its energy of formation from the pure elements is 0.019 eV per atom. As for the energy above the lowest structure with this stoichiometry: 0.179 eV/atom.

Structure (CIF):
```
data_Al4W
_cell_length_a 5.9143
_cell_length_b 5.9143
_cell_length_c 5.9143
_cell_angle_alpha 90.00
_cell_angle_beta 90.00
_cell_angle_gamma 90.00
_space_group_name_H-M_alt 'I m -3 m'
_space_group_IT_number 229
_space_group_name_Hall '-I 4 2 3'
loop_
_atom_site_label
_atom_site_type_symbol
_atom_site_fract_x
_atom_site_fract_y
_atom_site_fract_z
Al1 Al 0.2500 0.2500 0.2500
W1 W 0.0000 0.0000 0.0000
```


[10]
Cs2NaPdI | GGA-PBE | optimized geometry

Calculated values
As for the energy above the lowest structure with this stoichiometry: 0.522 eV/atom.

Structure (CIF):
```
data_Cs2NaPdI
_cell_length_a 7.1799
_cell_length_b 7.1799
_cell_length_c 5.4602
_cell_angle_alpha 90.00
_cell_angle_beta 90.00
_cell_angle_gamma 90.00
_space_group_name_H-M_alt 'P 4/m m m'
_space_group_IT_number 123
_space_group_name_Hall '-P 4 2'
loop_
_atom_site_label
_atom_site_type_symbol
_atom_site_fract_x
_atom_site_fract_y
_atom_site_fract_z
Cs1 Cs 0.0000 0.5000 0.0000
Na1 Na 0.0000 0.0000 0.0000
Pd1 Pd 0.5000 0.5000 0.5000
I1 I 0.0000 0.0000 0.5000
```


[11]
BaMnIr | GGA-PBE | optimized geometry

Calculated values
Its energy of formation from the pure elements is 1.414 eV per atom. As for the energy above the lowest structure with this stoichiometry: 1.400 eV/atom.

Structure (CIF):
```
data_BaMnIr
_cell_length_a 6.9562
_cell_length_b 6.9562
_cell_length_c 6.9562
_cell_angle_alpha 90.00
_cell_angle_beta 90.00
_cell_angle_gamma 90.00
_space_group_name_H-M_alt 'F -4 3 m'
_space_group_IT_number 216
_space_group_name_Hall 'F -4 2 3'
loop_
_atom_site_label
_atom_site_type_symbol
_atom_site_fract_x
_atom_site_fract_y
_atom_site_fract_z
Ba1 Ba 0.0000 0.0000 0.0000
Mn1 Mn 0.2500 0.2500 0.7500
Ir1 Ir 0.2500 0.2500 0.2500
```


[12]
Na3TlHg4 | GGA-PBE | optimized geometry

Calculated values
Its energy of formation from the pure elements is -0.175 eV per atom. As for the energy above the lowest structure with this stoichiometry: 0.027 eV/atom.

Structure (CIF):
```
data_Na3TlHg4
_cell_length_a 21.9355
_cell_length_b 3.4153
_cell_length_c 5.7005
_cell_angle_alpha 90.00
_cell_angle_beta 94.12
_cell_angle_gamma 90.00
_space_group_name_H-M_alt 'C 1 2/m 1'
_space_group_IT_number 12
loop_
_space_group_symop_operation_xyz
'x,y,z'
'-x,-y,-z'
'-x,y,-z'
'x,-y,z'
'x+1/2,y+1/2,z'
'-x+1/2,-y+1/2,-z'
'-x+1/2,y+1/2,-z'
'x+1/2,-y+1/2,z'
loop_
_atom_site_label
_atom_site_type_symbol
_atom_site_fract_x
_atom_site_fract_y
_atom_site_fract_z
Na1 Na 0.0000 0.0000 0.0000
Na2 Na 0.1378 0.0000 0.6664
Tl1 Tl 0.0000 0.5000 0.5000
Hg1 Hg 0.1163 0.5000 0.1562
Hg2 Hg 0.2385 0.0000 0.2426
```


[13]
Ca3TlV | GGA-PBE | optimized geometry

Calculated values
Its energy of formation from the pure elements is 0.564 eV per atom.

Structure (CIF):
```
data_Ca3TlV
_cell_length_a 5.7756
_cell_length_b 5.7756
_cell_length_c 5.7756
_cell_angle_alpha 90.00
_cell_angle_beta 90.00
_cell_angle_gamma 90.00
_space_group_name_H-M_alt 'P m -3 m'
_space_group_IT_number 221
_space_group_name_Hall '-P 4 2 3'
loop_
_atom_site_label
_atom_site_type_symbol
_atom_site_fract_x
_atom_site_fract_y
_atom_site_fract_z
Ca1 Ca 0.0000 0.0000 0.5000
Tl1 Tl 0.5000 0.5000 0.5000
V1 V 0.0000 0.0000 0.0000
```


[14]
LiSnW3 | GGA-PBE | optimized geometry

Calculated values
Its energy of formation from the pure elements is 2.707 eV per atom. As for the energy above the lowest structure with this stoichiometry: 1.273 eV/atom.

Structure (CIF):
```
data_LiSnW3
_cell_length_a 4.9489
_cell_length_b 4.9489
_cell_length_c 4.9489
_cell_angle_alpha 90.00
_cell_angle_beta 90.00
_cell_angle_gamma 90.00
_space_group_name_H-M_alt 'P m -3 m'
_space_group_IT_number 221
_space_group_name_Hall '-P 4 2 3'
loop_
_atom_site_label
_atom_site_type_symbol
_atom_site_fract_x
_atom_site_fract_y
_atom_site_fract_z
Li1 Li 0.0000 0.0000 0.0000
Sn1 Sn 0.5000 0.5000 0.5000
W1 W 0.0000 0.5000 0.5000
```


[15]
Li2CoAgH6 | GGA-PBE | optimized geometry

Structure (CIF):
```
data_Li2CoAgH6
_cell_length_a 4.5231
_cell_length_b 4.5231
_cell_length_c 5.1160
_cell_angle_alpha 90.00
_cell_angle_beta 90.00
_cell_angle_gamma 120.00
_space_group_name_H-M_alt 'P -3 m 1'
_space_group_IT_number 164
_space_group_name_Hall '-P 3 2"'
loop_
_atom_site_label
_atom_site_type_symbol
_atom_site_fract_x
_atom_site_fract_y
_atom_site_fract_z
Li1 Li 0.3333 0.6667 0.3816
Co1 Co 0.0000 0.0000 0.5000
Ag1 Ag 0.0000 0.0000 0.0000
H1 H 0.1621 0.3243 0.6721
```


[16]
SrPr3Co | GGA-PBE | optimized geometry

Calculated values
Its energy of formation from the pure elements is 0.057 eV per atom.

Structure (CIF):
```
data_SrPr3Co
_cell_length_a 5.6094
_cell_length_b 5.6094
_cell_length_c 5.6094
_cell_angle_alpha 90.00
_cell_angle_beta 90.00
_cell_angle_gamma 90.00
_space_group_name_H-M_alt 'P m -3 m'
_space_group_IT_number 221
_space_group_name_Hall '-P 4 2 3'
loop_
_atom_site_label
_atom_site_type_symbol
_atom_site_fract_x
_atom_site_fract_y
_atom_site_fract_z
Sr1 Sr 0.0000 0.0000 0.0000
Pr1 Pr 0.0000 0.5000 0.5000
Co1 Co 0.5000 0.5000 0.5000
```


[17]
CaZnGe | GGA-PBE | optimized geometry

Calculated values
Its energy of formation from the pure elements is -0.505 eV per atom.

Structure (CIF):
```
data_CaZnGe
_cell_length_a 4.2656
_cell_length_b 4.2656
_cell_length_c 17.0704
_cell_angle_alpha 90.00
_cell_angle_beta 90.00
_cell_angle_gamma 120.00
_space_group_name_H-M_alt 'P 63/m m c'
_space_group_IT_number 194
_space_group_name_Hall '-P 6c 2c'
loop_
_atom_site_label
_atom_site_type_symbol
_atom_site_fract_x
_atom_site_fract_y
_atom_site_fract_z
Ca1 Ca 0.0000 0.0000 0.0000
Ca2 Ca 0.0000 0.0000 0.2500
Zn1 Zn 0.3333 0.6667 0.1260
Ge1 Ge 0.3333 0.6667 0.6216
```


[18]
Cs2PmTlF6 | GGA-PBE | optimized geometry

Structure (CIF):
```
data_Cs2PmTlF6
_cell_length_a 9.9394
_cell_length_b 9.9394
_cell_length_c 9.9394
_cell_angle_alpha 90.00
_cell_angle_beta 90.00
_cell_angle_gamma 90.00
_space_group_name_H-M_alt 'F m -3 m'
_space_group_IT_number 225
_space_group_name_Hall '-F 4 2 3'
loop_
_atom_site_label
_atom_site_type_symbol
_atom_site_fract_x
_atom_site_fract_y
_atom_site_fract_z
Cs1 Cs 0.2500 0.2500 0.2500
Pm1 Pm 0.0000 0.0000 0.0000
Tl1 Tl 0.0000 0.0000 0.5000
F1 F 0.0000 0.0000 0.2276
```


[19]
La2PrTh | GGA-PBE | optimized geometry

Calculated values
Its energy of formation from the pure elements is 0.014 eV per atom. As for the energy above the lowest structure with this stoichiometry: 0.000 eV/atom.

Structure (CIF):
```
data_La2PrTh
_cell_length_a 3.6736
_cell_length_b 3.6736
_cell_length_c 23.9407
_cell_angle_alpha 90.00
_cell_angle_beta 90.00
_cell_angle_gamma 120.00
_space_group_name_H-M_alt 'P 63/m m c'
_space_group_IT_number 194
_space_group_name_Hall '-P 6c 2c'
loop_
_atom_site_label
_atom_site_type_symbol
_atom_site_fract_x
_atom_site_fract_y
_atom_site_fract_z
La1 La 0.3333 0.6667 0.1208
Pr1 Pr 0.3333 0.6667 0.7500
Th1 Th 0.0000 0.0000 0.0000
```


[20]
MgCd2GaAg2 | GGA-PBE | optimized geometry

Calculated values
Its energy of formation from the pure elements is -0.074 eV per atom.

Structure (CIF):
```
data_MgCd2GaAg2
_cell_length_a 4.4826
_cell_length_b 8.8506
_cell_length_c 5.9703
_cell_angle_alpha 90.00
_cell_angle_beta 90.00
_cell_angle_gamma 90.00
_space_group_name_H-M_alt 'P m c 21'
_space_group_IT_number 26
loop_
_space_group_symop_operation_xyz
'x,y,z'
'-x,-y,z+1/2'
'-x,y,z'
'x,-y,z+1/2'
loop_
_atom_site_label
_atom_site_type_symbol
_atom_site_fract_x
_atom_site_fract_y
_atom_site_fract_z
Mg1 Mg 0.0000 0.0905 0.0000
Cd1 Cd 0.0000 0.2640 0.4281
Cd2 Cd 0.5000 0.4114 0.1743
Ga1 Ga 0.5000 0.2306 0.7454
Ag1 Ag 0.0000 0.4074 0.8589
Ag2 Ag 0.5000 0.0710 0.3240
```


Number 1: spin magnetization 3.64 μB per formula unit, total energy -3.032 eV/atom. Number 2: spin magnetization 0.00 μB per formula unit, total energy -2.068 eV/atom. Number 3: spin magnetization 0.00 μB per formula unit, total energy -3.619 eV/atom. Number 4: spin magnetization 0.00 μB per formula unit, total energy -2.278 eV/atom. Number 5: spin magnetization 0.00 μB per formula unit, total energy -3.529 eV/atom. Number 6: spin magnetization 0.00 μB per formula unit, total energy -4.321 eV/atom. Number 7: spin magnetization 2.17 μB per formula unit, total energy -4.832 eV/atom. Number 8: spin magnetization 0.00 μB per formula unit, total energy -4.744 eV/atom. Number 9: spin magnetization 0.00 μB per formula unit, total energy -5.566 eV/atom. Number 10: spin magnetization 0.00 μB per formula unit, total energy -1.923 eV/atom. Number 11: spin magnetization 4.52 μB per formula unit, total energy -5.237 eV/atom. Number 12: spin magnetization 0.00 μB per formula unit, total energy -1.116 eV/atom. Number 13: spin magnetization 4.51 μB per formula unit, total energy -2.934 eV/atom. Number 14: spin magnetization 0.00 μB per formula unit, total energy -6.248 eV/atom. Number 15: spin magnetization 0.00 μB per formula unit, total energy -3.576 eV/atom. Number 16: spin magnetization 0.00 μB per formula unit, total energy -4.568 eV/atom. Number 17: spin magnetization 0.00 μB per formula unit, total energy -3.136 eV/atom. Number 18: spin magnetization 0.00 μB per formula unit, total energy -5.088 eV/atom. Number 19: spin magnetization 0.00 μB per formula unit, total energy -5.500 eV/atom. Number 20: spin magnetization 0.00 μB per formula unit, total energy -2.099 eV/atom.